Er2LuTe, relaxed, DFT PBE; mass density = 8.7 g/cm³; raw formation energy = -0.49 eV per atom
1.0
3.7981 0.0000 0.0000
1.8991 3.2893 0.0000
1.8991 1.0964 9.7847
Er Lu Te
2 1 1
Cartesian
1.8991 1.0964 2.1434
5.6972 3.2893 7.6413
3.7981 2.1929 4.8923
0.0000 0.0000 0.0000

---

ErLuTe2, relaxed, DFT PBE; mass density = 9.5 g/cm³; raw formation energy = -1.05 eV per atom
1.0
3.7405 0.0000 0.0000
0.0000 5.2906 0.0000
0.0000 0.0000 5.2906
Er Lu Te
1 1 2
Cartesian
1.8702 0.0000 0.0000
1.8702 2.6453 2.6453
0.0000 2.6453 0.0000
0.0000 0.0000 2.6453

---

Er2LuTe, relaxed, DFT PBE; mass density = 9.4 g/cm³; raw formation energy = -0.53 eV per atom
1.0
-3.0606 -0.7499 -2.2419
-1.9416 -1.2949 3.0837
-2.6129 6.9088 1.2562
Lu Er Te
1 2 1
Cartesian
-3.8075 2.4320 1.0490
-2.0046 5.3004 0.9637
-0.6083 1.6084 0.2924
-2.5011 -1.0224 0.4209

---

Er2LuTh, relaxed, DFT PBE; mass density = 10.0 g/cm³; ΔE_f = 0.12 eV/f.u.
1.0
-0.8659 -0.4400 3.3799
-2.9440 -1.6607 -0.9704
4.8836 -8.7249 0.1154
Lu Th Er
1 1 2
Cartesian
-1.9050 -1.0503 1.2047
0.5368 -5.4128 1.2625
1.2317 -2.2005 0.0291
3.6519 -6.5244 0.0863

---

Er2LuTh, relaxed, DFT PBE; mass density = 9.9 g/cm³; ΔE_f = 0.60 eV/f.u.
1.0
5.6025 0.0000 0.0000
2.8012 4.8519 0.0000
2.8012 1.6173 4.5744
Er Th Lu
2 1 1
Cartesian
8.4037 4.8519 3.4308
2.8012 1.6173 1.1436
0.0000 0.0000 0.0000
5.6025 3.2346 2.2872

---

Er2LuTh, relaxed, DFT PBE; mass density = 10.0 g/cm³; ΔE_f = 0.14 eV/f.u.
1.0
-2.3748 1.9735 -3.9297
0.9916 -4.0723 -2.6444
-4.2463 -2.0362 1.5435
Er Lu Th
2 1 1
Cartesian
-2.1231 -1.0181 0.7717
0.4958 -2.0361 -1.3222
-1.1874 0.9868 -1.9649
-2.8147 -2.0675 -2.5153